No. 1
Pr2GaSi3: relaxed, PBE-GGA.

Lattice parameters (Å, degrees): 8.498 8.606 14.095 90.00 90.00 90.00
Space group Fmmm (No. 69)
Symmetry-distinct sites (fractional):
Pr 0.245 0.000 0.000
Pr 0.250 0.250 0.250
Ga 0.000 0.000 0.335
Si 0.000 0.000 0.163
Si 0.000 0.247 0.084

Calculated values
Crystal system ... orthorhombic
E_form (uncorrected) ... -0.62 eV/atom
ΔE to the lowest computed polymorph ... 0.005 eV per atom



No. 2
TaMo2C3: relaxed, PBE-GGA.

Lattice parameters (Å, degrees): 3.1127 3.1127 7.6941 90.00 90.00 120.00
Space group P-3m1 (No. 164)
Symmetry-distinct sites (fractional):
Ta 0.0000 0.0000 0.0000
Mo 0.3333 0.6667 0.6697
C 0.0000 0.0000 0.5000
C 0.3333 0.6667 0.1674

Calculated values
Crystal system ... trigonal
Raw total energy ... -0.75440 Ry per atom



No. 3
Na8GaSn2: relaxed, PBE-GGA.

Lattice parameters (Å, degrees): 8.913 16.377 5.675 90.00 128.54 90.00
Space group C2/m (No. 12)
Symmetry-distinct sites (fractional):
Na 0.000 0.194 0.000
Na 0.101 0.500 0.819
Na 0.238 0.144 0.709
Ga 0.000 0.000 0.000
Sn 0.000 0.324 0.500

Calculated values
Crystal system ... monoclinic
Raw total energy ... -0.14517 Ry per atom



No. 4
CeNpMnNi: relaxed, PBE-GGA.

Lattice parameters (Å, degrees): 6.435 6.435 6.435 90.00 90.00 90.00
Space group F-43m (No. 216)
Symmetry-distinct sites (fractional):
Ce 0.000 0.000 0.000
Np 0.250 0.250 0.750
Mn 0.000 0.000 0.500
Ni 0.250 0.250 0.250

Calculated values
Crystal system ... cubic
Raw total energy ... -0.61637 Ry per atom



No. 5
AlCrC2: relaxed, PBE-GGA.

Lattice parameters (Å, degrees): 4.547 4.547 8.909 90.00 90.00 90.00
Space group I-42d (No. 122)
Symmetry-distinct sites (fractional):
Al 0.000 0.000 0.000
Cr 0.000 0.000 0.500
C 0.223 0.250 0.625

Calculated values
Crystal system ... tetragonal
Raw total energy ... -0.55697 Ry per atom



No. 6
Cd2Hg2P: relaxed, PBE-GGA.

Lattice parameters (Å, degrees): 7.211 7.211 4.545 90.00 90.00 90.00
Space group P4/mbm (No. 127)
Symmetry-distinct sites (fractional):
Cd 0.156 0.344 0.000
Hg 0.152 0.652 0.500
P 0.000 0.000 0.500

Calculated values
Crystal system ... tetragonal
ΔE to the lowest computed polymorph ... 0.111 eV per atom